A relaxed MnCrB crystal. Source: Alexandria, functional PBE.

a = 2.719 Å, b = 2.719 Å, c = 7.480 Å
α = 90.00°, β = 90.00°, γ = 90.00°
Space group I4mm (No. 107)
One atom of each set of equivalent atoms:
Mn1 0.000 0.000 0.000 [2 per cell]
Cr1 0.000 0.000 0.694 [2 per cell]
B1 0.000 0.000 0.359 [2 per cell]

## Properties
Mass density = 7.07 Mg/m³
E_form = -0.23 eV/f.u.
Spin magnetization = 0.00 μB/f.u.

A relaxed Mn2CrB crystal. Source: Alexandria, functional PBE.

a = 2.7010 Å, b = 2.7010 Å, c = 20.7216 Å
α = 90.00°, β = 90.00°, γ = 120.00°
Space group R-3m (No. 166, hexagonal axes)
One atom of each set of equivalent atoms:
Mn1 0.0000 0.0000 0.1057 [6 per cell]
Cr1 0.0000 0.0000 0.0000 [3 per cell]
B1 0.0000 0.0000 0.5000 [3 per cell]

## Properties
Mass density = 6.57 Mg/m³
E_form = 1.51 eV/f.u.
Spin magnetization = 1.50 μB/f.u.

A relaxed MnCr3B4 crystal. Source: Alexandria, functional PBE.

a = 2.813 Å, b = 4.531 Å, c = 11.187 Å
α = 90.00°, β = 90.00°, γ = 90.00°
Space group Immm (No. 71)
One atom of each set of equivalent atoms:
Mn1 0.000 0.000 0.000 [2 per cell]
Cr1 0.000 0.000 0.500 [2 per cell]
Cr2 0.000 0.500 0.309 [4 per cell]
B1 0.000 0.317 0.132 [8 per cell]

## Properties
Mass density = 5.92 Mg/m³
E_form = -1.20 eV/f.u.
Spin magnetization = 0.62 μB/f.u.

A relaxed MnCrB crystal. Source: Alexandria, functional PBE.

a = 4.212 Å, b = 7.144 Å, c = 7.234 Å
α = 90.00°, β = 90.00°, γ = 90.00°
Space group Fmmm (No. 69)
One atom of each set of equivalent atoms:
Mn1 0.000 0.000 0.166 [8 per cell]
Cr1 0.000 0.162 0.500 [8 per cell]
B1 0.250 0.250 0.250 [8 per cell]

## Properties
Mass density = 7.19 Mg/m³
E_form = -1.18 eV/f.u.
Spin magnetization = 0.24 μB/f.u.

A relaxed MnCrB crystal. Source: Alexandria, functional PBE.

a = 5.499 Å, b = 3.931 Å, c = 2.923 Å
α = 90.00°, β = 111.38°, γ = 90.00°
Space group Cm (No. 8)
One atom of each set of equivalent atoms:
Mn1 0.000 0.000 0.000 [2 per cell]
Cr1 0.402 0.000 0.524 [2 per cell]
B1 0.204 0.500 0.254 [2 per cell]

## Properties
Mass density = 6.65 Mg/m³
E_form = 0.07 eV/f.u.
Spin magnetization = 0.00 μB/f.u.

A relaxed NaMn2CrB crystal. Source: Alexandria, functional PBE.

a = 4.194 Å, b = 4.194 Å, c = 4.259 Å
α = 90.00°, β = 90.00°, γ = 90.00°
Space group P4/mmm (No. 123)
One atom of each set of equivalent atoms:
Na1 0.000 0.000 0.000 [1 per cell]
Mn1 0.000 0.500 0.500 [2 per cell]
Cr1 0.500 0.500 0.000 [1 per cell]
B1 0.500 0.500 0.500 [1 per cell]

## Properties
Mass density = 4.34 Mg/m³
E_form = 2.93 eV/f.u.
Spin magnetization = 10.00 μB/f.u.

A relaxed Na2MnCrB crystal. Source: Alexandria, functional PBE.

a = 4.846 Å, b = 4.846 Å, c = 3.952 Å
α = 90.00°, β = 90.00°, γ = 90.00°
Space group P4/mmm (No. 123)
One atom of each set of equivalent atoms:
Na1 0.000 0.500 0.000 [2 per cell]
Mn1 0.000 0.000 0.500 [1 per cell]
Cr1 0.500 0.500 0.500 [1 per cell]
B1 0.000 0.000 0.000 [1 per cell]

## Properties
Mass density = 2.93 Mg/m³
E_form = 8.33 eV/f.u.
Spin magnetization = 2.08 μB/f.u.

A relaxed MnNbCr2B crystal. Source: Alexandria, functional PBE.

a = 4.430 Å, b = 4.430 Å, c = 4.687 Å
α = 90.00°, β = 90.00°, γ = 90.00°
Space group P4/mmm (No. 123)
One atom of each set of equivalent atoms:
Mn1 0.000 0.000 0.000 [1 per cell]
Nb1 0.000 0.000 0.500 [1 per cell]
Cr1 0.000 0.500 0.500 [2 per cell]
B1 0.500 0.500 0.000 [1 per cell]

## Properties
Mass density = 4.74 Mg/m³
E_form = 12.55 eV/f.u.
Spin magnetization = 2.96 μB/f.u.